Record 1
The following is a DFT calculation (PBE) of crystalline Pr2Ho5Er4 at its relaxed geometry.

- D(E_F): 13.535 states/eV/cell
- ΔH_f (0 K): 205 meV/atom
- Distance to the lowest polymorph of the same formula: 182 meV/atom

POSCAR file:
```
Pr2Ho5Er4
1.0
-1.736 5.728 9.167
1.736 -5.728 9.167
1.736 5.728 -9.167
Pr Ho Er
2 5 4
Cartesian
0.000 0.000 3.727
0.000 0.000 14.608
1.736 0.000 0.000
1.736 -2.416 5.912
0.000 3.311 3.255
1.736 2.416 5.912
0.000 8.144 3.255
0.000 3.167 0.000
0.000 0.000 7.523
0.000 0.000 10.811
0.000 8.288 0.000
```

Record 2
The following is a DFT calculation (PBE) of crystalline Pr6Ho2Er at its relaxed geometry.

- D(E_F): 25.158 states/eV/cell
- ΔH_f (0 K): 81 meV/atom
- Distance to the lowest polymorph of the same formula: 0 meV/atom

POSCAR file:
```
Pr6Ho2Er
1.0
8.265 -5.967 0.000
8.265 5.967 0.000
-0.689 0.000 6.255
Pr Ho Er
12 4 2
Cartesian
6.785 4.294 6.169
4.609 1.671 0.955
8.711 4.294 3.213
5.847 1.670 4.255
4.265 -1.671 4.082
9.649 1.670 5.127
6.191 -1.670 1.127
11.576 1.671 2.172
9.994 -1.670 2.000
7.130 -4.294 3.041
11.231 -1.671 5.299
9.055 -4.294 0.086
2.356 1.208 3.646
2.700 -1.208 0.519
13.141 1.208 5.736
13.485 -1.208 2.608
8.093 1.207 1.564
7.748 -1.207 4.691
```

Record 3
The following is a DFT calculation (PBE) of crystalline Pr2Ho6Er3 at its relaxed geometry.

- D(E_F): 18.206 states/eV/cell
- ΔH_f (0 K): 182 meV/atom
- Distance to the lowest polymorph of the same formula: 0 meV/atom

POSCAR file:
```
Pr2Ho6Er3
1.0
3.042 -5.275 0.000
3.042 5.275 0.000
-2.047 0.000 11.519
Pr Ho Er
2 6 3
Cartesian
3.042 3.516 0.000
3.042 -3.516 0.000
-0.013 1.759 8.581
1.007 0.000 2.936
-0.013 -1.759 8.581
4.050 1.759 2.938
3.029 0.000 8.583
4.050 -1.759 2.938
-1.024 0.000 5.759
2.018 1.743 5.759
2.018 -1.743 5.759
```

Record 4
The following is a DFT calculation (PBE) of crystalline Pr2Ho8Er3 at its relaxed geometry.

- D(E_F): 21.897 states/eV/cell
- ΔH_f (0 K): 239 meV/atom

POSCAR file:
```
Pr2Ho8Er3
1.0
3.793 -10.416 0.000
3.793 10.416 0.000
0.000 0.000 5.497
Pr Ho Er
2 8 3
Cartesian
3.793 5.411 0.000
3.793 -5.411 0.000
3.793 7.774 2.749
2.175 2.203 0.000
3.793 3.327 2.749
2.175 -2.203 0.000
5.411 2.203 0.000
3.793 -3.327 2.749
5.411 -2.203 0.000
3.793 -7.774 2.749
0.000 0.000 0.000
2.171 0.000 2.749
5.415 0.000 2.749
```

Record 5
The following is a DFT calculation (PBE) of crystalline Pr4Ho4Er5 at its relaxed geometry.

- D(E_F): 18.637 states/eV/cell
- ΔH_f (0 K): 24 meV/atom

POSCAR file:
```
Pr4Ho4Er5
1.0
-6.455 6.455 2.523
6.455 -6.455 2.523
6.455 6.455 -2.523
Pr Ho Er
4 4 5
Cartesian
7.986 1.020 0.000
1.020 4.923 0.000
5.434 1.532 2.523
-1.532 5.434 2.523
2.949 1.973 0.000
4.482 -3.505 2.523
1.973 9.960 0.000
3.505 4.482 2.523
0.000 0.000 0.000
5.950 4.023 0.000
2.432 -0.505 2.523
4.023 6.959 0.000
0.505 2.432 2.523
```

Record 6
The following is a DFT calculation (PBE) of crystalline Pr3Ho4Er3 at its relaxed geometry.

- D(E_F): 7.412 states/eV/cell
- ΔH_f (0 K): 103 meV/atom

POSCAR file:
```
Pr3Ho4Er3
1.0
3.690 0.000 0.000
0.000 6.652 6.702
0.000 -6.652 6.702
Pr Ho Er
3 4 3
Cartesian
0.000 0.000 0.000
0.000 -2.316 9.009
0.000 2.316 9.009
1.845 -1.654 2.366
1.845 1.654 2.366
1.845 0.000 7.309
1.845 0.000 10.704
0.000 0.000 4.649
1.845 -3.258 5.637
1.845 3.258 5.637
```